# Ca2TeC (PBE, optimized geometry)
# ΔE_f (raw), eV per atom: 0.238
# Total energy, eV per atom: -3.855
data_Ca2TeC
_cell_length_a 7.226
_cell_length_b 7.226
_cell_length_c 7.226
_cell_angle_alpha 90.00
_cell_angle_beta 90.00
_cell_angle_gamma 90.00
_symmetry_space_group_name_H-M 'F m -3 m'
_symmetry_Int_Tables_number 225
_symmetry_space_group_name_Hall '-F 4 2 3'
loop_
_atom_site_label
_atom_site_type_symbol
_atom_site_fract_x
_atom_site_fract_y
_atom_site_fract_z
Ca1 Ca 0.250 0.250 0.250
Te1 Te 0.000 0.000 0.000
C1 C 0.000 0.000 0.500

---

# La2HgOs (PBE, optimized geometry)
# Total energy, eV per atom: -5.286
# Formation enthalpy at 0 K, eV per atom: 0.061
data_La2HgOs
_cell_length_a 5.0355
_cell_length_b 5.0355
_cell_length_c 14.3800
_cell_angle_alpha 90.00
_cell_angle_beta 90.00
_cell_angle_gamma 120.00
_symmetry_space_group_name_H-M 'R 3 m'
_symmetry_Int_Tables_number 160
_symmetry_space_group_name_Hall 'R 3 -2"'
loop_
_atom_site_label
_atom_site_type_symbol
_atom_site_fract_x
_atom_site_fract_y
_atom_site_fract_z
La1 La 0.0000 0.0000 0.0000
La2 La 0.0000 0.0000 0.2196
Hg1 Hg 0.0000 0.0000 0.4533
Os1 Os 0.0000 0.0000 0.8096

---

# AgHPd3 (PBE, optimized geometry)
# Total energy, eV per atom: -4.423
data_AgHPd3
_cell_length_a 5.023
_cell_length_b 5.673
_cell_length_c 5.814
_cell_angle_alpha 60.82
_cell_angle_beta 71.75
_cell_angle_gamma 89.95
_symmetry_space_group_name_H-M 'P -1'
_symmetry_Int_Tables_number 2
loop_
_symmetry_equiv_pos_as_xyz
'x,y,z'
'-x,-y,-z'
loop_
_atom_site_label
_atom_site_type_symbol
_atom_site_fract_x
_atom_site_fract_y
_atom_site_fract_z
Ag1 Ag 0.000 0.000 0.000
Ag2 Ag 0.000 0.500 0.000
H1 H 0.385 0.074 0.352
Pd1 Pd 0.000 0.000 0.500
Pd2 Pd 0.000 0.500 0.500
Pd3 Pd 0.492 0.740 0.020
Pd4 Pd 0.500 0.260 0.500

---

# KSbAs2 (PBE, optimized geometry)
# ΔE_f (raw), eV per atom: 0.109
# Total energy, eV per atom: -3.521
data_KSbAs2
_cell_length_a 3.717
_cell_length_b 6.121
_cell_length_c 9.948
_cell_angle_alpha 90.00
_cell_angle_beta 90.00
_cell_angle_gamma 90.00
_symmetry_space_group_name_H-M 'I m m m'
_symmetry_Int_Tables_number 71
_symmetry_space_group_name_Hall '-I 2 2'
loop_
_atom_site_label
_atom_site_type_symbol
_atom_site_fract_x
_atom_site_fract_y
_atom_site_fract_z
K1 K 0.000 0.000 0.000
Sb1 Sb 0.000 0.000 0.500
As1 As 0.000 0.500 0.202

---

# Er2TmBi3 (PBE, optimized geometry)
# Total energy, eV per atom: -5.009
# Formation enthalpy at 0 K, eV per atom: -0.802
data_Er2TmBi3
_cell_length_a 4.440
_cell_length_b 6.274
_cell_length_c 13.321
_cell_angle_alpha 90.00
_cell_angle_beta 90.00
_cell_angle_gamma 90.00
_symmetry_space_group_name_H-M 'I m m m'
_symmetry_Int_Tables_number 71
_symmetry_space_group_name_Hall '-I 2 2'
loop_
_atom_site_label
_atom_site_type_symbol
_atom_site_fract_x
_atom_site_fract_y
_atom_site_fract_z
Er1 Er 0.000 0.000 0.167
Tm1 Tm 0.000 0.000 0.500
Bi1 Bi 0.000 0.500 0.166
Bi2 Bi 0.000 0.500 0.500

---

# LiTb2Ga2Rh5 (PBE, optimized geometry)
# Total energy, eV per atom: -6.046
# Formation enthalpy at 0 K, eV per atom: -0.648
data_LiTb2Ga2Rh5
_cell_length_a 9.809
_cell_length_b 9.809
_cell_length_c 3.508
_cell_angle_alpha 90.00
_cell_angle_beta 90.00
_cell_angle_gamma 90.00
_symmetry_space_group_name_H-M 'P 4/m b m'
_symmetry_Int_Tables_number 127
_symmetry_space_group_name_Hall '-P 4 2ab'
loop_
_atom_site_label
_atom_site_type_symbol
_atom_site_fract_x
_atom_site_fract_y
_atom_site_fract_z
Li1 Li 0.000 0.000 0.000
Tb1 Tb 0.173 0.327 0.000
Ga1 Ga 0.127 0.627 0.000
Rh1 Rh 0.000 0.500 0.500
Rh2 Rh 0.067 0.799 0.500